Crystalline GaCo2AgF8 at its relaxed geometry, computed with PBE with a Hubbard U.

Computed properties:
VASP energy = -0.3410 Ry/atom

abc: 4.840 4.870 6.680
angles: 89.72 89.85 88.51
Space group P-1 (No. 2)
Inequivalent atoms, fractional coordinates:
Ga 0.000 0.000 0.000 [1 per cell]
Co 0.499 0.500 0.750 [2 per cell]
Ag 0.000 0.000 0.500 [1 per cell]
F 0.205 0.800 0.199 [2 per cell]
F 0.208 0.801 0.802 [2 per cell]
F 0.284 0.291 0.000 [2 per cell]
F 0.321 0.334 0.501 [2 per cell]